Record 1
Here is a geometry-optimized CePr2Zn2Sn2 structure from Alexandria. Energies are from PBE.

Computed properties:
Its formation energy from the elements is -0.362 eV per atom. As for the volume: 27.0 Å³ per atom.

Cell lengths 4.6604, 4.6604, 30.1897 Å; angles 90.00, 90.00, 120.00 degrees
Last column: nearest neighbours and their distance in Å.
Space group R-3m (No. 166, hexagonal axes)
Inequivalent atoms, fractional coordinates:
Ce1 0.0000 0.0000 0.0000 x3  6 Zn 3.12, 6 Sn 3.41
Pr1 0.0000 0.0000 0.1271 x6  3 Sn 3.21, 3 Zn 3.52
Zn1 0.0000 0.0000 0.3855 x6  3 Sn 2.74
Sn1 0.0000 0.0000 0.2641 x6  3 Zn 2.74

---

Record 2
Here is a geometry-optimized Ca3PuU3As8 structure from Alexandria. Energies are from PBE.

Computed properties:
Its formation energy from the elements is -0.804 eV per atom. As for the volume: 27.0 Å³ per atom.

Cell lengths 8.2807, 8.2807, 20.4241 Å; angles 90.00, 90.00, 120.00 degrees
Last column: nearest neighbours and their distance in Å.
Space group R-3m (No. 166, hexagonal axes)
Inequivalent atoms, fractional coordinates:
Ca1 0.0000 0.5000 0.0000 x9  6 As 3.01-3.07
Pu1 0.0000 0.0000 0.5000 x3  6 As 2.90
U1 0.0000 0.5000 0.5000 x9  6 As 2.81-2.86
As1 0.0000 0.0000 0.2439 x6  3 U 2.86, 3 Ca 3.01
As2 0.0102 0.5051 0.7584 x18  2 U 2.81, 1 Pu 2.90, 2 Ca 3.07

---

Record 3
Here is a geometry-optimized CrFeP structure from Alexandria. Energies are from PBE.

Computed properties:
Its formation energy from the elements is -0.108 eV per atom. As for the volume: 11.0 Å³ per atom.

Cell lengths 2.6383, 3.6006, 6.9395 Å; angles 90.00, 90.00, 90.00 degrees
Last column: nearest neighbours and their distance in Å.
Space group Imm2 (No. 44)
Inequivalent atoms, fractional coordinates:
Cr1 0.0000 0.0000 0.0000 x2  5 P 2.31-2.52, 5 Fe 2.33-2.51
Fe1 0.0000 0.0000 0.6646 x2  5 P 2.30-2.52, 5 Cr 2.33-2.51
P1 0.0000 0.0000 0.3329 x2  5 Fe 2.30-2.52, 5 Cr 2.31-2.52